# 1
## Be4CuAu5 (PBE)

Data for an optimized crystal structure of Be4CuAu5.

Crystal system: tetragonal
Total magnetic moment in μB/atom: 0.00
Density of states at the Fermi level in states/eV/f.u.: 2.4
E_form in kJ/mol of formula units: -111

Structure (POSCAR):
```
Be4CuAu5
1.0
2.968 0.000 0.000
0.000 2.968 0.000
0.000 0.000 15.293
Be Cu Au
4 1 5
Direct
0.000 0.000 0.209
0.000 0.000 0.404
0.000 0.000 0.596
0.000 0.000 0.791
0.000 0.000 0.000
0.500 0.500 0.117
0.500 0.500 0.308
0.500 0.500 0.500
0.500 0.500 0.692
0.500 0.500 0.883
```

***

# 2
## BeCuAu2 (PBE)

Data for an optimized crystal structure of BeCuAu2.

Crystal system: tetragonal
Total magnetic moment in μB/atom: 0.00
Density of states at the Fermi level in states/eV/f.u.: 1.3
E_form in kJ/mol of formula units: 6

Structure (POSCAR):
```
BeCuAu2
1.0
-2.939 -3.400 -2.028
2.105 -4.375 -0.860
-0.297 3.072 3.845
Be Au Cu
1 2 1
Direct
0.500 0.500 0.000
0.000 0.000 0.000
0.250 0.750 0.500
0.750 0.250 0.500
```

***

# 3
## Be2Cu3Au (PBE)

Data for an optimized crystal structure of Be2Cu3Au.

Crystal system: triclinic
Total magnetic moment in μB/atom: 0.00
Density of states at the Fermi level in states/eV/f.u.: 1.3
E_form in kJ/mol of formula units: -52

Structure (POSCAR):
```
Be2Cu3Au
1.0
-0.353 -2.611 2.880
4.603 0.960 1.458
4.726 4.156 9.660
Be Cu Au
4 6 2
Direct
0.121 0.385 0.629
0.374 0.134 0.876
0.879 0.615 0.371
0.626 0.866 0.124
0.703 0.764 0.547
0.801 0.758 0.950
0.297 0.236 0.453
0.199 0.242 0.050
0.942 0.482 0.808
0.058 0.518 0.192
0.550 0.005 0.701
0.450 0.995 0.299
```

***

# 4
## BeCu2Au5 (PBE)

Data for an optimized crystal structure of BeCu2Au5.

Crystal system: orthorhombic
Total magnetic moment in μB/atom: 0.00
Density of states at the Fermi level in states/eV/f.u.: 2.0
E_form in kJ/mol of formula units: -40
Excess energy over the best structure of this formula in the dataset in kJ per mole of atoms: 0.0

Structure (POSCAR):
```
BeCu2Au5
1.0
-1.965 1.678 3.180
-4.842 -0.341 -2.812
-1.701 -9.794 4.116
Be Cu Au
2 4 10
Direct
0.000 0.000 0.500
0.000 0.500 0.000
0.500 0.339 0.356
0.500 0.661 0.644
0.500 0.161 0.856
0.500 0.839 0.144
0.500 0.319 0.096
0.500 0.681 0.904
0.500 0.819 0.404
0.500 0.181 0.596
0.000 0.921 0.725
0.000 0.079 0.275
0.000 0.421 0.775
0.000 0.579 0.225
0.000 0.500 0.500
0.000 0.000 0.000
```

***

# 5
## BeCuAu2 (PBE)

Data for an optimized crystal structure of BeCuAu2.

Crystal system: trigonal
Total magnetic moment in μB/atom: 0.00
Density of states at the Fermi level in states/eV/f.u.: 1.5
E_form in kJ/mol of formula units: 12

Structure (POSCAR):
```
BeCuAu2
1.0
8.110 -0.008 -0.005
7.587 2.865 -0.005
7.587 1.381 2.510
Be Au Cu
1 2 1
Direct
0.250 0.250 0.250
0.992 0.992 0.992
0.508 0.508 0.508
0.750 0.750 0.750
```

***

# 6
## Be3CuAu6 (PBE)

Data for an optimized crystal structure of Be3CuAu6.

Crystal system: trigonal
Total magnetic moment in μB/atom: 0.00
Density of states at the Fermi level in states/eV/f.u.: 1.8
E_form in kJ/mol of formula units: -22

Structure (POSCAR):
```
Be3CuAu6
1.0
7.238 0.000 0.000
3.619 6.269 0.000
3.619 2.090 3.236
Be Cu Au
3 1 6
Direct
0.398 0.398 0.806
0.652 0.652 0.044
0.145 0.145 0.564
0.899 0.899 0.303
0.903 0.537 0.296
0.264 0.903 0.296
0.537 0.264 0.296
0.048 0.401 0.798
0.753 0.048 0.798
0.401 0.753 0.798
```

***

# 7
## BeCuAu2 (PBE)

Data for an optimized crystal structure of BeCuAu2.

Crystal system: tetragonal
Total magnetic moment in μB/atom: 0.00
Density of states at the Fermi level in states/eV/f.u.: 1.3
E_form in kJ/mol of formula units: 31

Structure (POSCAR):
```
BeCuAu2
1.0
6.740 0.000 0.000
0.000 6.740 0.000
3.370 3.370 2.680
Be Au Cu
2 4 2
Direct
0.500 0.500 0.000
0.250 0.750 0.500
0.579 0.125 0.250
0.171 0.625 0.250
0.375 0.421 0.750
0.875 0.829 0.750
0.000 0.000 0.000
0.750 0.250 0.500
```

***

# 8
## BeCuAu4 (PBE)

Data for an optimized crystal structure of BeCuAu4.

Crystal system: tetragonal
Total magnetic moment in μB/atom: 0.00
Density of states at the Fermi level in states/eV/f.u.: 1.6
E_form in kJ/mol of formula units: -10
Excess energy over the best structure of this formula in the dataset in kJ per mole of atoms: 5.8

Structure (POSCAR):
```
BeCuAu4
1.0
-3.631 -3.200 1.263
4.664 -0.617 1.697
-1.459 4.348 1.995
Be Cu Au
1 1 4
Direct
0.500 0.500 0.000
0.000 0.000 0.000
0.587 0.087 0.174
0.913 0.413 0.826
0.087 0.913 0.500
0.413 0.587 0.500
```

***

# 9
## BeCu2Au2 (PBE)

Data for an optimized crystal structure of BeCu2Au2.

Crystal system: tetragonal
Total magnetic moment in μB/atom: 0.00
Density of states at the Fermi level in states/eV/f.u.: 1.9
E_form in kJ/mol of formula units: 59
Excess energy over the best structure of this formula in the dataset in kJ per mole of atoms: 18.5

Structure (POSCAR):
```
BeCu2Au2
1.0
5.912 0.000 0.000
0.000 5.912 0.000
0.000 0.000 4.081
Be Au Cu
2 4 4
Direct
0.000 0.000 0.000
0.500 0.500 0.000
0.171 0.671 0.500
0.671 0.829 0.500
0.829 0.329 0.500
0.329 0.171 0.500
0.358 0.858 0.000
0.858 0.642 0.000
0.642 0.142 0.000
0.142 0.358 0.000
```

***

# 10
## Be3Cu2Au3 (PBE)

Data for an optimized crystal structure of Be3Cu2Au3.

Crystal system: orthorhombic
Total magnetic moment in μB/atom: 0.00
Density of states at the Fermi level in states/eV/f.u.: 1.9
E_form in kJ/mol of formula units: -69

Structure (POSCAR):
```
Be3Cu2Au3
1.0
-2.158 0.287 -1.937
-1.230 -3.880 0.795
-3.403 4.664 6.676
Be Cu Au
3 2 3
Direct
0.122 0.122 0.245
0.000 0.500 0.000
0.878 0.878 0.755
0.734 0.234 0.469
0.266 0.766 0.531
0.628 0.628 0.255
0.372 0.372 0.745
0.500 0.000 0.000
```

***

# 11
## BeCu3Au2 (PBE)

Data for an optimized crystal structure of BeCu3Au2.

Crystal system: orthorhombic
Total magnetic moment in μB/atom: 0.00
Density of states at the Fermi level in states/eV/f.u.: 1.9
E_form in kJ/mol of formula units: 5

Structure (POSCAR):
```
BeCu3Au2
1.0
-2.443 0.389 -1.248
-1.284 -3.647 1.379
-2.525 3.129 5.920
Be Cu Au
1 3 2
Direct
0.500 0.500 0.333
0.500 0.000 0.834
0.500 0.000 0.173
0.500 0.500 0.654
0.000 0.500 0.017
0.000 0.000 0.489
```

***

# 12
## BeCuAu2 (PBE)

Data for an optimized crystal structure of BeCuAu2.

Crystal system: monoclinic
Total magnetic moment in μB/atom: 0.00
Density of states at the Fermi level in states/eV/f.u.: 0.9
E_form in kJ/mol of formula units: -19

Structure (POSCAR):
```
BeCuAu2
1.0
-1.596 -3.086 1.881
2.599 -0.669 1.108
0.384 2.532 4.479
Be Au Cu
1 2 1
Direct
0.000 0.694 0.487
0.000 0.960 0.954
0.500 0.285 0.307
0.500 0.561 0.752
```

***

> What is the formula in the seventh record?

BeCuAu2

***

> Which formula does entry 10 have?

Be3Cu2Au3